## Hf2AlZnRe (SCAN)

Data for a PBEsol-optimized structure of Hf2AlZnRe.

Output
Its symmetry is P4/mmm, No. 123. The calculation puts the total magnetization at 0.00 μB/f.u. The value obtained for the volume is 116.2 Å³ per cell. The calculation puts the formation energy at 0.68 eV/atom. Its density of states at the Fermi level is 0.624 states/eV per atom. The total energy comes out at -3.150 Ry/atom.

Geometry as CIF:
```
data_Hf2AlZnRe
_cell_length_a 4.931
_cell_length_b 4.931
_cell_length_c 4.780
_cell_angle_alpha 90.00
_cell_angle_beta 90.00
_cell_angle_gamma 90.00
_space_group_name_H-M_alt 'P 1'
_space_group_IT_number 1
_space_group_name_Hall 'P 1'
loop_
_atom_site_label
_atom_site_type_symbol
_atom_site_fract_x
_atom_site_fract_y
_atom_site_fract_z
Hf1 Hf 0.000 0.500 0.000
Hf2 Hf 0.500 0.000 0.000
Al1 Al 0.000 0.000 0.500
Zn1 Zn 0.500 0.500 0.500
Re1 Re 0.500 0.500 0.000
```

=====

## BaRuO3 (SCAN)

Data for a PBEsol-optimized structure of BaRuO3.

Output
Its symmetry is P6_3/mmc, No. 194. The calculation puts the total magnetization at 1.28 μB/f.u. The value obtained for the volume is 141.8 Å³ per cell. Its density of states at the Fermi level is 0.327 states/eV per atom. The total energy comes out at -1.516 Ry/atom.

Geometry as CIF:
```
data_BaRuO3
_cell_length_a 5.698
_cell_length_b 5.698
_cell_length_c 5.044
_cell_angle_alpha 90.00
_cell_angle_beta 90.00
_cell_angle_gamma 120.00
_space_group_name_H-M_alt 'P 1'
_space_group_IT_number 1
_space_group_name_Hall 'P 1'
loop_
_atom_site_label
_atom_site_type_symbol
_atom_site_fract_x
_atom_site_fract_y
_atom_site_fract_z
Ba1 Ba 0.333 0.667 0.250
Ba2 Ba 0.667 0.333 0.750
Ru1 Ru 0.000 0.000 0.000
Ru2 Ru 0.000 0.000 0.500
O1 O 0.156 0.312 0.750
O2 O 0.156 0.844 0.750
O3 O 0.312 0.156 0.250
O4 O 0.688 0.844 0.750
O5 O 0.844 0.156 0.250
O6 O 0.844 0.688 0.250
```

=====

## BePb2 (SCAN)

Data for a PBEsol-optimized structure of BePb2.

Output
Its symmetry is P6_3/mmc, No. 194. The calculation puts the total magnetization at 0.00 μB/f.u. The value obtained for the volume is 145.7 Å³ per cell. The calculation puts the formation energy at 0.40 eV/atom. Its density of states at the Fermi level is 0.292 states/eV per atom. As for the energy above the lowest structure with this stoichiometry: 0.233 eV/f.u. The total energy comes out at -3.790 Ry/atom.

Geometry as CIF:
```
data_BePb2
_cell_length_a 4.310
_cell_length_b 4.310
_cell_length_c 9.060
_cell_angle_alpha 90.00
_cell_angle_beta 90.00
_cell_angle_gamma 120.00
_space_group_name_H-M_alt 'P 1'
_space_group_IT_number 1
_space_group_name_Hall 'P 1'
loop_
_atom_site_label
_atom_site_type_symbol
_atom_site_fract_x
_atom_site_fract_y
_atom_site_fract_z
Be1 Be 0.333 0.667 0.250
Be2 Be 0.667 0.333 0.750
Pb1 Pb 0.000 0.000 0.000
Pb2 Pb 0.000 0.000 0.500
Pb3 Pb 0.333 0.667 0.750
Pb4 Pb 0.667 0.333 0.250
```

=====

## BeSeF2 (SCAN)

Data for a PBEsol-optimized structure of BeSeF2.

Output
Its symmetry is Fd-3m, No. 227. The calculation puts the total magnetization at 0.00 μB/f.u. The value obtained for the volume is 97.0 Å³ per cell. Its density of states at the Fermi level is 0.171 states/eV per atom. The total energy comes out at -0.731 Ry/atom.

Geometry as CIF:
```
data_BeSeF2
_cell_length_a 5.157
_cell_length_b 5.157
_cell_length_c 5.157
_cell_angle_alpha 60.00
_cell_angle_beta 60.00
_cell_angle_gamma 60.00
_space_group_name_H-M_alt 'P 1'
_space_group_IT_number 1
_space_group_name_Hall 'P 1'
loop_
_atom_site_label
_atom_site_type_symbol
_atom_site_fract_x
_atom_site_fract_y
_atom_site_fract_z
Be1 Be 0.125 0.125 0.125
Be2 Be 0.875 0.875 0.875
Se1 Se 0.375 0.375 0.375
Se2 Se 0.625 0.625 0.625
F1 F 0.000 0.000 0.000
F2 F 0.000 0.000 0.500
F3 F 0.000 0.500 0.000
F4 F 0.500 0.000 0.000
```

=====

## Cs3SI (SCAN)

Data for a PBEsol-optimized structure of Cs3SI.

Output
Its symmetry is Pm-3m, No. 221. The calculation puts the total magnetization at 0.00 μB/f.u. The value obtained for the volume is 281.3 Å³ per cell. The total energy comes out at -2.445 Ry/atom.

Geometry as CIF:
```
data_Cs3SI
_cell_length_a 6.552
_cell_length_b 6.552
_cell_length_c 6.552
_cell_angle_alpha 90.00
_cell_angle_beta 90.00
_cell_angle_gamma 90.00
_space_group_name_H-M_alt 'P 1'
_space_group_IT_number 1
_space_group_name_Hall 'P 1'
loop_
_atom_site_label
_atom_site_type_symbol
_atom_site_fract_x
_atom_site_fract_y
_atom_site_fract_z
Cs1 Cs 0.000 0.000 0.500
Cs2 Cs 0.000 0.500 0.000
Cs3 Cs 0.500 0.000 0.000
S1 S 0.000 0.000 0.000
I1 I 0.500 0.500 0.500
```

=====

## Ta2NiOs (SCAN)

Data for a PBEsol-optimized structure of Ta2NiOs.

Output
Its symmetry is Cm, No. 8. The calculation puts the total magnetization at 0.00 μB/f.u. The value obtained for the volume is 60.3 Å³ per cell. The calculation puts the formation energy at -0.17 eV/atom. Its density of states at the Fermi level is 0.619 states/eV per atom. As for the energy above the lowest structure with this stoichiometry: 0.564 eV/f.u. The total energy comes out at -4.078 Ry/atom.

Geometry as CIF:
```
data_Ta2NiOs
_cell_length_a 4.760
_cell_length_b 4.760
_cell_length_c 4.581
_cell_angle_alpha 102.04
_cell_angle_beta 102.04
_cell_angle_gamma 36.55
_space_group_name_H-M_alt 'P 1'
_space_group_IT_number 1
_space_group_name_Hall 'P 1'
loop_
_atom_site_label
_atom_site_type_symbol
_atom_site_fract_x
_atom_site_fract_y
_atom_site_fract_z
Ta1 Ta 0.000 0.000 0.000
Ta2 Ta 0.229 0.229 0.685
Ni1 Ni 0.737 0.737 0.192
Os1 Os 0.473 0.473 0.463
```

=====

## TaCu3Cl (SCAN)

Data for a PBEsol-optimized structure of TaCu3Cl.

Output
Its symmetry is Pm-3m, No. 221. The calculation puts the total magnetization at 0.00 μB/f.u. The value obtained for the volume is 110.0 Å³ per cell. Its density of states at the Fermi level is 0.606 states/eV per atom. As for the energy above the lowest structure with this stoichiometry: 0.951 eV/f.u. The total energy comes out at -1.654 Ry/atom.

Geometry as CIF:
```
data_TaCu3Cl
_cell_length_a 4.791
_cell_length_b 4.791
_cell_length_c 4.791
_cell_angle_alpha 90.00
_cell_angle_beta 90.00
_cell_angle_gamma 90.00
_space_group_name_H-M_alt 'P 1'
_space_group_IT_number 1
_space_group_name_Hall 'P 1'
loop_
_atom_site_label
_atom_site_type_symbol
_atom_site_fract_x
_atom_site_fract_y
_atom_site_fract_z
Ta1 Ta 0.000 0.000 0.000
Cu1 Cu 0.000 0.000 0.500
Cu2 Cu 0.000 0.500 0.000
Cu3 Cu 0.500 0.000 0.000
Cl1 Cl 0.500 0.500 0.500
```

=====

## ScB2 (SCAN)

Data for a PBEsol-optimized structure of ScB2.

Output
Its symmetry is P6/mmm, No. 191. The calculation puts the total magnetization at 0.00 μB/f.u. The value obtained for the volume is 29.6 Å³ per cell. The calculation puts the formation energy at -0.90 eV/atom. Its density of states at the Fermi level is 0.281 states/eV per atom. The total energy comes out at -0.779 Ry/atom.

Geometry as CIF:
```
data_ScB2
_cell_length_a 3.127
_cell_length_b 3.127
_cell_length_c 3.491
_cell_angle_alpha 90.00
_cell_angle_beta 90.00
_cell_angle_gamma 120.00
_space_group_name_H-M_alt 'P 1'
_space_group_IT_number 1
_space_group_name_Hall 'P 1'
loop_
_atom_site_label
_atom_site_type_symbol
_atom_site_fract_x
_atom_site_fract_y
_atom_site_fract_z
Sc1 Sc 0.000 0.000 0.000
B1 B 0.333 0.667 0.500
B2 B 0.667 0.333 0.500
```

=====

Q: The lowest total energy belongs to which entry?
A: Ta2NiOs

=====

Q: Which formula does entry 4 have?
A: BeSeF2